1.
Al2Ni9Te: optimized geometry, PBE-GGA.

a b c (Å): 3.637 3.637 10.811
angles (deg): 90.00 90.00 90.00
Sites, in units of the cell vectors:
Al1 0.000 0.000 0.157
Al2 0.000 0.000 0.843
Ni1 0.000 0.500 0.000
Ni2 0.000 0.500 0.323
Ni3 0.000 0.500 0.677
Ni4 0.500 0.000 0.000
Ni5 0.500 0.000 0.323
Ni6 0.500 0.000 0.677
Ni7 0.500 0.500 0.163
Ni8 0.500 0.500 0.500
Ni9 0.500 0.500 0.837
Te1 0.000 0.000 0.500

Calculated values
space group: P4/mmm (123)
DOS(E_F): 12.5 states/eV/cell
magnetic moment: 0.29 μB/f.u.

2.
AlNiTe: optimized geometry, PBE-GGA.

a b c (Å): 3.993 8.275 8.275
angles (deg): 27.07 90.00 90.00
Sites, in units of the cell vectors:
Al1 0.000 0.000 0.000
Al2 0.500 0.494 0.494
Ni1 0.000 0.599 0.599
Ni2 0.500 0.082 0.082
Te1 0.000 0.371 0.371
Te2 0.500 0.694 0.694

Calculated values
space group: Amm2 (38)
DOS(E_F): 2.8 states/eV/cell
magnetic moment: 0.00 μB/f.u.
excess energy over the best structure of this formula in the dataset: 39 kJ/mol of formula units

3.
AlNiTe3: optimized geometry, PBE-GGA.

a b c (Å): 5.068 5.068 5.068
angles (deg): 90.00 90.00 90.00
Sites, in units of the cell vectors:
Al1 0.000 0.000 0.000
Ni1 0.500 0.500 0.500
Te1 0.000 0.500 0.500
Te2 0.500 0.000 0.500
Te3 0.500 0.500 0.000

Calculated values
space group: Pm-3m (221)
DOS(E_F): 7.2 states/eV/cell
magnetic moment: 0.00 μB/f.u.
excess energy over the best structure of this formula in the dataset: 0 kJ/mol of formula units

4.
Al2NiTe: optimized geometry, PBE-GGA.

a b c (Å): 3.850 3.850 4.815
angles (deg): 90.00 90.00 90.00
Sites, in units of the cell vectors:
Al1 0.000 0.500 0.000
Al2 0.500 0.000 0.000
Ni1 0.000 0.000 0.500
Te1 0.500 0.500 0.500

Calculated values
space group: P4/mmm (123)
DOS(E_F): 1.8 states/eV/cell
magnetic moment: 0.00 μB/f.u.

5.
Al2NiTe: optimized geometry, PBE-GGA.

a b c (Å): 4.935 4.935 4.935
angles (deg): 128.97 128.97 75.05
Sites, in units of the cell vectors:
Al1 0.000 0.000 0.000
Al2 0.750 0.250 0.500
Ni1 0.250 0.750 0.500
Te1 0.500 0.500 0.000

Calculated values
space group: I-4m2 (119)
DOS(E_F): 1.9 states/eV/cell
magnetic moment: 0.00 μB/f.u.

6.
Al4NiTe: optimized geometry, PBE-GGA.

a b c (Å): 5.351 5.351 5.351
angles (deg): 60.00 60.00 60.00
Sites, in units of the cell vectors:
Al1 0.124 0.124 0.124
Al2 0.124 0.124 0.628
Al3 0.124 0.628 0.124
Al4 0.628 0.124 0.124
Ni1 0.750 0.750 0.750
Te1 0.500 0.500 0.500

Calculated values
space group: F-43m (216)
DOS(E_F): 3.7 states/eV/cell
magnetic moment: 0.00 μB/f.u.

7.
Al2NiTe: optimized geometry, PBE-GGA.

a b c (Å): 3.881 3.881 6.222
angles (deg): 108.10 108.10 60.24
Sites, in units of the cell vectors:
Al1 0.222 0.222 0.168
Al2 0.778 0.778 0.832
Ni1 0.500 0.500 0.000
Te1 0.000 0.000 0.500

Calculated values
space group: C2/m (12)
DOS(E_F): 1.9 states/eV/cell
magnetic moment: 0.00 μB/f.u.

8.
Al2NiTe: optimized geometry, PBE-GGA.

a b c (Å): 3.001 3.001 8.102
angles (deg): 90.00 90.00 90.00
Sites, in units of the cell vectors:
Al1 0.000 0.000 0.170
Al2 0.000 0.000 0.830
Ni1 0.500 0.500 0.000
Te1 0.500 0.500 0.500

Calculated values
space group: P4/mmm (123)
DOS(E_F): 2.5 states/eV/cell
magnetic moment: 0.00 μB/f.u.

no.,total energy (eV/f.u.),formation energy without anion corrections (meV per atom)
1,-66.1,-287
2,-13.7,-334
3,-17.2,351
4,-15.6,193
5,-15.5,219
6,-21.9,335
7,-16.8,-87
8,-16.6,-56